(1)
! SrNiP2 | Alexandria | GGA-PBE | relaxed; values from VASP
! DFT formation energy   0.1516 eV/atom
! Calculated total energy   -4.42 eV/atom
! Symmetry   I-4m2
&SYSTEM
  ibrav = 0, nat = 8, ntyp = 3
/
ATOMIC_SPECIES
Sr 87.62 Sr.upf
Ni 58.69 Ni.upf
P 30.97 P.upf
CELL_PARAMETERS angstrom
4.0640 0.0000 0.0000
0.0000 4.0640 0.0000
0.0000 0.0000 8.9764
ATOMIC_POSITIONS crystal
Sr 0.0000 0.0000 0.0000
Sr 0.5000 0.5000 0.5000
Ni 0.0000 0.5000 0.7500
Ni 0.5000 0.0000 0.2500
P 0.0000 0.0000 0.5000
P 0.0000 0.5000 0.2500
P 0.5000 0.0000 0.7500
P 0.5000 0.5000 0.0000

=====

(2)
! LiInCl2 | Alexandria | GGA-PBE | relaxed; values from VASP
! Calculated total energy   -2.78 eV/atom
! Symmetry   F-43m
! ΔE_f (raw)   -696 meV/atom
! Offset from the most stable computed form   610 meV per atom
&SYSTEM
  ibrav = 0, nat = 16, ntyp = 3
/
ATOMIC_SPECIES
Li 6.94 Li.upf
In 114.82 In.upf
Cl 35.45 Cl.upf
CELL_PARAMETERS angstrom
7.3146 0.0000 0.0000
0.0000 7.3146 0.0000
0.0000 0.0000 7.3146
ATOMIC_POSITIONS crystal
Li 0.0000 0.0000 0.0000
Li 0.0000 0.5000 0.5000
Li 0.5000 0.0000 0.5000
Li 0.5000 0.5000 0.0000
In 0.2500 0.2500 0.7500
In 0.2500 0.7500 0.2500
In 0.7500 0.2500 0.2500
In 0.7500 0.7500 0.7500
Cl 0.0000 0.0000 0.5000
Cl 0.0000 0.5000 0.0000
Cl 0.2500 0.2500 0.2500
Cl 0.2500 0.7500 0.7500
Cl 0.5000 0.0000 0.0000
Cl 0.5000 0.5000 0.5000
Cl 0.7500 0.2500 0.7500
Cl 0.7500 0.7500 0.2500

=====

(3)
! Sc5Ga3 | Alexandria | GGA-PBE | relaxed; values from VASP
! DFT formation energy   -0.5331 eV/atom
! Calculated total energy   -5.63 eV/atom
! Symmetry   C2/m
&SYSTEM
  ibrav = 0, nat = 16, ntyp = 2
/
ATOMIC_SPECIES
Sc 44.96 Sc.upf
Ga 69.72 Ga.upf
CELL_PARAMETERS angstrom
4.0418 -7.0018 0.0000
4.0418 7.0018 0.0000
-0.1446 0.0000 5.9419
ATOMIC_POSITIONS crystal
Sc 0.1488 0.8512 0.0000
Sc 0.1827 0.8173 0.5000
Sc 0.2581 0.4964 0.7566
Sc 0.2673 0.2673 0.2604
Sc 0.4964 0.2581 0.7566
Sc 0.5036 0.7419 0.2434
Sc 0.7327 0.7327 0.7396
Sc 0.7419 0.5036 0.2434
Sc 0.8173 0.1827 0.5000
Sc 0.8512 0.1488 0.0000
Ga 0.0949 0.0949 0.6966
Ga 0.0983 0.5015 0.2168
Ga 0.4985 0.9017 0.7832
Ga 0.5015 0.0983 0.2168
Ga 0.9017 0.4985 0.7832
Ga 0.9051 0.9051 0.3034

=====

(4)
! TlGaRu2C | Alexandria | GGA-PBE | relaxed; values from VASP
! DFT formation energy   3.1135 eV/atom
! Calculated total energy   -3.52 eV/atom
! Symmetry   P4/mmm
&SYSTEM
  ibrav = 0, nat = 5, ntyp = 4
/
ATOMIC_SPECIES
Tl 204.38 Tl.upf
Ga 69.72 Ga.upf
Ru 101.07 Ru.upf
C 12.01 C.upf
CELL_PARAMETERS angstrom
5.1086 0.0000 0.0000
0.0000 5.1086 0.0000
0.0000 0.0000 4.8399
ATOMIC_POSITIONS crystal
Tl 0.0000 0.0000 0.0000
Ga 0.0000 0.0000 0.5000
Ru 0.0000 0.5000 0.0000
Ru 0.5000 0.0000 0.0000
C 0.5000 0.5000 0.5000

=====

(5)
! BaTlIn10 | Alexandria | GGA-PBE | relaxed; values from VASP
! DFT formation energy   -0.0584 eV/atom
! Calculated total energy   -2.70 eV/atom
! Symmetry   Pmmm
&SYSTEM
  ibrav = 0, nat = 12, ntyp = 3
/
ATOMIC_SPECIES
Ba 137.33 Ba.upf
Tl 204.38 Tl.upf
In 114.82 In.upf
CELL_PARAMETERS angstrom
5.5093 0.0000 0.0000
0.0000 6.2225 0.0000
0.0000 0.0000 10.7309
ATOMIC_POSITIONS crystal
Ba 0.0000 0.0000 0.0000
Tl 0.0000 0.5000 0.5000
In 0.0000 0.0000 0.3450
In 0.0000 0.0000 0.6550
In 0.0000 0.5000 0.1894
In 0.0000 0.5000 0.8106
In 0.5000 0.0000 0.5000
In 0.5000 0.2479 0.2508
In 0.5000 0.2479 0.7492
In 0.5000 0.5000 0.0000
In 0.5000 0.7521 0.2508
In 0.5000 0.7521 0.7492

=====

(6)
! TlPb2Au2 | Alexandria | GGA-PBE | relaxed; values from VASP
! DFT formation energy   -0.0386 eV/atom
! Calculated total energy   -3.31 eV/atom
! Symmetry   P4/mbm
! Offset from the most stable computed form   14 meV per atom
&SYSTEM
  ibrav = 0, nat = 10, ntyp = 3
/
ATOMIC_SPECIES
Tl 204.38 Tl.upf
Pb 207.20 Pb.upf
Au 196.97 Au.upf
CELL_PARAMETERS angstrom
8.1255 0.0000 0.0000
0.0000 8.1255 0.0000
0.0000 0.0000 3.9493
ATOMIC_POSITIONS crystal
Tl 0.0000 0.0000 0.0000
Tl 0.5000 0.5000 0.0000
Pb 0.1679 0.3321 0.5000
Pb 0.3321 0.8321 0.5000
Pb 0.6679 0.1679 0.5000
Pb 0.8321 0.6679 0.5000
Au 0.1293 0.6293 0.0000
Au 0.3707 0.1293 0.0000
Au 0.6293 0.8707 0.0000
Au 0.8707 0.3707 0.0000

=====

(7)
! NbPt2Pb | Alexandria | GGA-PBE | relaxed; values from VASP
! DFT formation energy   0.0315 eV/atom
! Calculated total energy   -6.43 eV/atom
! Symmetry   I-42d
&SYSTEM
  ibrav = 0, nat = 16, ntyp = 3
/
ATOMIC_SPECIES
Nb 92.91 Nb.upf
Pt 195.08 Pt.upf
Pb 207.20 Pb.upf
CELL_PARAMETERS angstrom
7.4950 0.0000 0.0000
0.0000 7.4950 0.0000
0.0000 0.0000 5.7684
ATOMIC_POSITIONS crystal
Nb 0.0000 0.0000 0.0000
Nb 0.0000 0.5000 0.2500
Nb 0.5000 0.0000 0.7500
Nb 0.5000 0.5000 0.5000
Pt 0.2282 0.7500 0.1250
Pt 0.2500 0.2282 0.8750
Pt 0.2500 0.2718 0.3750
Pt 0.2718 0.7500 0.6250
Pt 0.7282 0.2500 0.6250
Pt 0.7500 0.7282 0.3750
Pt 0.7500 0.7718 0.8750
Pt 0.7718 0.2500 0.1250
Pb 0.0000 0.0000 0.5000
Pb 0.0000 0.5000 0.7500
Pb 0.5000 0.0000 0.2500
Pb 0.5000 0.5000 0.0000

=====

(8)
! Pr3SmF | Alexandria | GGA-PBE | relaxed; values from VASP
! Calculated total energy   -5.17 eV/atom
! Symmetry   Pm-3m
! ΔE_f (raw)   -982 meV/atom
&SYSTEM
  ibrav = 0, nat = 5, ntyp = 3
/
ATOMIC_SPECIES
Pr 140.91 Pr.upf
Sm 150.36 Sm.upf
F 19.00 F.upf
CELL_PARAMETERS angstrom
5.2413 0.0000 0.0000
0.0000 5.2413 0.0000
0.0000 0.0000 5.2413
ATOMIC_POSITIONS crystal
Pr 0.0000 0.0000 0.5000
Pr 0.0000 0.5000 0.0000
Pr 0.5000 0.0000 0.0000
Sm 0.5000 0.5000 0.5000
F 0.0000 0.0000 0.0000

=====

(9)
! FeCu2Pb | Alexandria | GGA-PBE | relaxed; values from VASP
! DFT formation energy   0.4400 eV/atom
! Calculated total energy   -4.65 eV/atom
! Symmetry   Cm
&SYSTEM
  ibrav = 0, nat = 8, ntyp = 3
/
ATOMIC_SPECIES
Fe 55.84 Fe.upf
Cu 63.55 Cu.upf
Pb 207.20 Pb.upf
CELL_PARAMETERS angstrom
8.5361 0.0000 0.0000
0.0000 3.0554 0.0000
-0.9794 0.0000 4.9859
ATOMIC_POSITIONS crystal
Fe 0.0000 0.0000 0.0000
Fe 0.5000 0.5000 0.0000
Cu 0.2385 0.5000 0.2015
Cu 0.4775 0.0000 0.3959
Cu 0.7385 0.0000 0.2015
Cu 0.9775 0.5000 0.3959
Pb 0.2395 0.0000 0.7018
Pb 0.7395 0.5000 0.7018

=====

(10)
! InGa2Fe2 | Alexandria | GGA-PBE | relaxed; values from VASP
! DFT formation energy   0.1382 eV/atom
! Calculated total energy   -5.01 eV/atom
! Symmetry   P4/mbm
! Offset from the most stable computed form   52 meV per atom
&SYSTEM
  ibrav = 0, nat = 10, ntyp = 3
/
ATOMIC_SPECIES
In 114.82 In.upf
Ga 69.72 Ga.upf
Fe 55.84 Fe.upf
CELL_PARAMETERS angstrom
7.3487 0.0000 0.0000
0.0000 7.3487 0.0000
0.0000 0.0000 2.7425
ATOMIC_POSITIONS crystal
In 0.0000 0.0000 0.0000
In 0.5000 0.5000 0.0000
Ga 0.1292 0.3708 0.0000
Ga 0.3708 0.8708 0.0000
Ga 0.6292 0.1292 0.0000
Ga 0.8708 0.6292 0.0000
Fe 0.1658 0.6658 0.5000
Fe 0.3342 0.1658 0.5000
Fe 0.6658 0.8342 0.5000
Fe 0.8342 0.3342 0.5000

=====

(11)
! CrNiOs2 | Alexandria | GGA-PBE | relaxed; values from VASP
! DFT formation energy   0.1192 eV/atom
! Calculated total energy   -9.35 eV/atom
! Symmetry   P2/m
! Offset from the most stable computed form   46 meV per atom
&SYSTEM
  ibrav = 0, nat = 4, ntyp = 3
/
ATOMIC_SPECIES
Cr 52.00 Cr.upf
Ni 58.69 Ni.upf
Os 190.23 Os.upf
CELL_PARAMETERS angstrom
4.4871 0.0000 0.0000
0.0000 2.6905 0.0000
-1.5776 0.0000 4.3422
ATOMIC_POSITIONS crystal
Cr 0.0000 0.0000 0.0000
Ni 0.0000 0.5000 0.5000
Os 0.5000 0.0000 0.5000
Os 0.5000 0.5000 0.0000

=====

(12)
! La4Al2In | Alexandria | GGA-PBE | relaxed; values from VASP
! DFT formation energy   -0.2809 eV/atom
! Calculated total energy   -4.56 eV/atom
! Symmetry   R-3m
&SYSTEM
  ibrav = 0, nat = 7, ntyp = 3
/
ATOMIC_SPECIES
La 138.91 La.upf
Al 26.98 Al.upf
In 114.82 In.upf
CELL_PARAMETERS angstrom
2.6873 1.5515 8.6815
-2.6873 1.5515 8.6815
0.0000 -3.1030 8.6815
ATOMIC_POSITIONS crystal
La 0.1164 0.1164 0.1164
La 0.3686 0.3686 0.3686
La 0.6314 0.6314 0.6314
La 0.8836 0.8836 0.8836
Al 0.2468 0.2468 0.2468
Al 0.7532 0.7532 0.7532
In 0.5000 0.5000 0.5000

=====

(13)
! HfBeAsBr2 | Alexandria | GGA-PBE | relaxed; values from VASP
! Calculated total energy   -4.16 eV/atom
! Symmetry   P4/mmm
! ΔE_f (raw)   180 meV/atom
! Offset from the most stable computed form   0 meV per atom
&SYSTEM
  ibrav = 0, nat = 5, ntyp = 4
/
ATOMIC_SPECIES
Hf 178.49 Hf.upf
Be 9.01 Be.upf
As 74.92 As.upf
Br 79.90 Br.upf
CELL_PARAMETERS angstrom
5.2152 0.0000 0.0000
0.0000 5.2152 0.0000
0.0000 0.0000 5.3175
ATOMIC_POSITIONS crystal
Hf 0.0000 0.0000 0.0000
Be 0.5000 0.5000 0.5000
As 0.0000 0.0000 0.5000
Br 0.0000 0.5000 0.0000
Br 0.5000 0.0000 0.0000